Entry 1:
Here is crystalline Er2Al3Au at its relaxed geometry from Alexandria. Energies are from GGA-PBE.

```
Er2Al3Au
1.0
0.000 4.518 7.868
3.514 0.000 7.868
3.514 4.518 0.000
Er Al Au
4 6 2
Direct
0.248 0.752 0.752
0.250 0.250 0.250
0.750 0.750 0.750
0.752 0.248 0.248
0.164 0.669 0.331
0.331 0.836 0.164
0.334 0.334 0.666
0.666 0.666 0.334
0.669 0.164 0.836
0.836 0.331 0.669
0.169 0.169 0.831
0.831 0.831 0.169
```

Properties
- Uncorrected energy: -4.552 eV/atom
- Space-group type: Fmmm, No. 69
- Total magnetic moment: 0.00 μB per formula unit
- DOS(E_F): 3.5 states/eV/f.u.



Entry 2:
Here is crystalline EuGeAu at its relaxed geometry from Alexandria. Energies are from GGA-PBE.

```
EuGeAu
1.0
-1.812 1.812 5.335
1.812 -1.812 5.335
1.812 1.812 -5.335
Eu Ge Au
1 1 1
Direct
0.000 0.000 0.000
0.698 0.698 0.000
0.312 0.312 0.000
```

Properties
- Uncorrected energy: -6.463 eV/atom
- Space-group type: I4mm, No. 107
- Total magnetic moment: 7.16 μB per formula unit
- DOS(E_F): 3.4 states/eV/f.u.



Entry 3:
Here is crystalline Ce6Te5Pt at its relaxed geometry from Alexandria. Energies are from GGA-PBE.

```
Ce6Te5Pt
1.0
3.872 -6.661 0.000
3.872 6.661 0.000
-2.587 0.000 7.212
Ce Te Pt
6 5 1
Direct
0.076 0.387 0.732
0.230 0.230 0.252
0.387 0.076 0.732
0.613 0.924 0.268
0.770 0.770 0.748
0.924 0.613 0.268
0.179 0.821 0.000
0.336 0.664 0.500
0.500 0.500 0.000
0.664 0.336 0.500
0.821 0.179 0.000
0.000 0.000 0.500
```

Properties
- Formation energy from raw total energies: -1.2915 eV per atom
- Space-group type: C2/m, No. 12
- Total magnetic moment: 6.45 μB per formula unit
- DOS(E_F): 41.6 states/eV/f.u.



Entry 4:
Here is crystalline LaY2Re at its relaxed geometry from Alexandria. Energies are from GGA-PBE.

```
LaY2Re
1.0
6.345 -1.817 0.000
6.345 1.817 0.000
-2.260 0.000 4.863
La Y Re
1 2 1
Direct
0.000 0.000 0.000
0.195 0.195 0.695
0.805 0.805 0.305
0.500 0.500 0.500
```

Properties
- Space-group type: C2/m, No. 12
- Total magnetic moment: 0.00 μB per formula unit
- DOS(E_F): 5.3 states/eV/f.u.
- Excess energy over the best structure of this formula in the dataset: 51.1 meV per atom



Entry 5:
Here is crystalline Li2Sn2Pd3 at its relaxed geometry from Alexandria. Energies are from GGA-PBE.

```
Li2Sn2Pd3
1.0
4.504 0.000 0.000
-2.241 4.001 0.000
-0.016 -2.440 6.638
Li Sn Pd
2 2 3
Direct
0.138 0.276 0.412
0.862 0.724 0.588
0.415 0.828 0.240
0.585 0.172 0.760
0.000 0.000 0.000
0.272 0.547 0.818
0.728 0.453 0.182
```

Properties
- Space-group type: P-1, No. 2
- Total magnetic moment: 0.00 μB per formula unit
- DOS(E_F): 1.5 states/eV/f.u.
- Excess energy over the best structure of this formula in the dataset: 0.0 meV per atom



Entry 6:
Here is crystalline K2CoTc at its relaxed geometry from Alexandria. Energies are from GGA-PBE.

```
K2CoTc
1.0
10.231 -1.511 0.000
10.231 1.511 0.000
-0.667 0.000 3.686
K Co Tc
2 1 1
Direct
0.144 0.144 0.140
0.856 0.856 0.860
0.500 0.500 0.000
0.000 0.000 0.500
```

Properties
- Space-group type: C2/m, No. 12
- Total magnetic moment: 0.02 μB per formula unit
- DOS(E_F): 5.4 states/eV/f.u.
- Excess energy over the best structure of this formula in the dataset: 70.4 meV per atom



Entry 7:
Here is crystalline LiBe2Pt at its relaxed geometry from Alexandria. Energies are from GGA-PBE.

```
LiBe2Pt
1.0
-1.397 1.931 3.991
1.397 -1.931 3.991
1.397 1.931 -3.991
Li Be Pt
1 2 1
Direct
0.000 0.000 0.000
0.267 0.767 0.500
0.487 0.487 0.000
0.728 0.228 0.500
```

Properties
- Uncorrected energy: -4.263 eV/atom
- Space-group type: Imm2, No. 44
- Total magnetic moment: 0.00 μB per formula unit
- DOS(E_F): 0.5 states/eV/f.u.



Entry 8:
Here is crystalline TbPmNd2Ho6 at its relaxed geometry from Alexandria. Energies are from GGA-PBE.

```
TbPmNd2Ho6
1.0
4.512 -7.511 0.000
4.512 7.511 0.000
-1.627 0.000 9.634
Tb Pm Nd Ho
2 2 4 12
Direct
0.017 0.983 0.750
0.983 0.017 0.250
0.405 0.595 0.250
0.595 0.405 0.750
0.190 0.292 0.542
0.292 0.190 0.042
0.708 0.810 0.958
0.810 0.708 0.458
0.027 0.578 0.685
0.123 0.742 0.057
0.258 0.877 0.443
0.294 0.503 0.880
0.422 0.973 0.815
0.497 0.706 0.620
0.503 0.294 0.380
0.578 0.027 0.185
0.706 0.497 0.120
0.742 0.123 0.557
0.877 0.258 0.943
0.973 0.422 0.315
```

Properties
- Uncorrected energy: -4.517 eV/atom
- Space-group type: C2/c, No. 15
- Total magnetic moment: 0.00 μB per formula unit
- DOS(E_F): 14.6 states/eV/f.u.



Entry 9:
Here is crystalline CaPm4Sn5 at its relaxed geometry from Alexandria. Energies are from GGA-PBE.

```
CaPm4Sn5
1.0
3.521 0.000 0.000
0.000 3.521 0.000
0.000 0.000 22.669
Ca Pm Sn
1 4 5
Direct
0.000 0.000 0.000
0.000 0.000 0.200
0.000 0.000 0.400
0.000 0.000 0.600
0.000 0.000 0.800
0.500 0.500 0.100
0.500 0.500 0.300
0.500 0.500 0.500
0.500 0.500 0.700
0.500 0.500 0.900
```

Properties
- Uncorrected energy: -4.770 eV/atom
- Space-group type: P4/mmm, No. 123
- Total magnetic moment: 0.00 μB per formula unit
- DOS(E_F): 7.5 states/eV/f.u.



Entry 10:
Here is crystalline SrMgCd2Cu at its relaxed geometry from Alexandria. Energies are from GGA-PBE.

```
SrMgCd2Cu
1.0
5.109 0.000 0.000
0.000 5.109 0.000
0.000 0.000 4.995
Sr Mg Cd Cu
1 1 2 1
Direct
0.000 0.000 0.000
0.500 0.500 0.000
0.000 0.500 0.500
0.500 0.000 0.500
0.500 0.500 0.500
```

Properties
- Uncorrected energy: -1.925 eV/atom
- Space-group type: P4/mmm, No. 123
- Total magnetic moment: 0.00 μB per formula unit
- DOS(E_F): 2.6 states/eV/f.u.



Entry 11:
Here is crystalline Ho5SnBi5 at its relaxed geometry from Alexandria. Energies are from GGA-PBE.

```
Ho5SnBi5
1.0
7.034 -3.101 0.000
7.034 3.101 0.000
-2.772 0.000 8.287
Ho Sn Bi
5 1 5
Direct
0.000 0.000 0.000
0.329 0.329 0.161
0.333 0.333 0.670
0.667 0.667 0.330
0.671 0.671 0.839
0.500 0.500 0.000
0.155 0.155 0.810
0.160 0.160 0.342
0.500 0.500 0.500
0.840 0.840 0.658
0.845 0.845 0.190
```

Properties
- Uncorrected energy: -4.744 eV/atom
- Space-group type: C2/m, No. 12
- Total magnetic moment: 0.00 μB per formula unit
- DOS(E_F): 7.7 states/eV/f.u.



Entry 12:
Here is crystalline Na2HgCl at its relaxed geometry from Alexandria. Energies are from GGA-PBE.

```
Na2HgCl
1.0
1.888 1.090 8.590
-1.888 1.090 8.590
0.000 -2.180 8.590
Na Hg Cl
2 1 1
Direct
0.000 0.000 0.000
0.197 0.197 0.197
0.766 0.766 0.766
0.599 0.599 0.599
```

Properties
- Formation energy from raw total energies: -0.9086 eV per atom
- Space-group type: R3m, No. 160
- Total magnetic moment: 0.00 μB per formula unit
- DOS(E_F): 1.1 states/eV/f.u.
- Excess energy over the best structure of this formula in the dataset: 2.8 meV per atom



Repeat the sixth record exactly.
Here is crystalline K2CoTc at its relaxed geometry from Alexandria. Energies are from GGA-PBE.

```
K2CoTc
1.0
10.231 -1.511 0.000
10.231 1.511 0.000
-0.667 0.000 3.686
K Co Tc
2 1 1
Direct
0.144 0.144 0.140
0.856 0.856 0.860
0.500 0.500 0.000
0.000 0.000 0.500
```

Properties
- Space-group type: C2/m, No. 12
- Total magnetic moment: 0.02 μB per formula unit
- DOS(E_F): 5.4 states/eV/f.u.
- Excess energy over the best structure of this formula in the dataset: 70.4 meV per atom



- Look up the total magnetic moment of the third one.
  6.45 μB per formula unit



- DOS(E_F) of number 11 (Ho5SnBi5)?
  7.7 states/eV/f.u.



- What is the total magnetic moment in the sixth record?
  0.02 μB per formula unit